#i
# PNClF2

A relaxed PNClF2 crystal (PBE, Alexandria via LeMat-Bulk).

The structure in POSCAR format:
```
PNClF2
1.0
4.120 0.000 0.000
0.000 4.120 0.000
0.000 0.000 4.246
P N Cl F
1 1 1 2
direct
0.000 0.000 0.000
0.500 0.500 0.000
0.500 0.500 0.500
0.000 0.500 0.500
0.500 0.000 0.500
```

As for the crystal system: tetragonal.

#ii
# PNClF2

A relaxed PNClF2 crystal (PBE, Alexandria via LeMat-Bulk).

The structure in POSCAR format:
```
PNClF2
1.0
3.789 0.000 0.000
0.000 3.789 0.000
0.000 0.000 4.163
P N Cl F
1 1 1 2
direct
0.000 0.000 0.000
0.000 0.000 0.500
0.500 0.500 0.500
0.000 0.500 0.000
0.500 0.000 0.000
```

As for the crystal system: tetragonal.

Most stable to least stable: #ii, #i

#i
# PN2ClF

A relaxed PN2ClF crystal (PBE, Alexandria via LeMat-Bulk).

The structure in POSCAR format:
```
PN2ClF
1.0
3.954 0.000 0.000
0.000 3.954 0.000
0.000 0.000 3.884
P N Cl F
1 2 1 1
direct
0.000 0.000 0.000
0.000 0.500 0.500
0.500 0.000 0.500
0.500 0.500 0.500
0.500 0.500 0.000
```

As for the crystal system: tetragonal.

#ii
# PN2ClF

A relaxed PN2ClF crystal (PBE, Alexandria via LeMat-Bulk).

The structure in POSCAR format:
```
PN2ClF
1.0
3.547 0.000 0.000
0.000 3.547 0.000
0.000 0.000 3.892
P N Cl F
1 2 1 1
direct
0.000 0.000 0.000
0.000 0.500 0.000
0.500 0.000 0.000
0.500 0.500 0.500
0.000 0.000 0.500
```

As for the crystal system: tetragonal.

Most stable to least stable: #ii, #i

#i
# PbN2ClF

A relaxed PbN2ClF crystal (PBE, Alexandria via LeMat-Bulk).

The structure in POSCAR format:
```
PbN2ClF
1.0
4.590 0.000 0.000
0.000 4.590 0.000
0.000 0.000 4.386
Pb N Cl F
1 2 1 1
direct
0.000 0.000 0.000
0.000 0.500 0.000
0.500 0.000 0.000
0.500 0.500 0.500
0.000 0.000 0.500
```

As for the crystal system: tetragonal.

#ii
# PbN2ClF

A relaxed PbN2ClF crystal (PBE, Alexandria via LeMat-Bulk).

The structure in POSCAR format:
```
PbN2ClF
1.0
3.831 0.000 0.000
0.000 3.831 0.000
0.000 0.000 5.079
Pb N Cl F
1 2 1 1
direct
0.000 0.000 0.000
0.000 0.500 0.500
0.500 0.000 0.500
0.500 0.500 0.500
0.500 0.500 0.000
```

As for the crystal system: tetragonal.

Most stable to least stable: #i, #ii

#i
# PtN2ClF

A relaxed PtN2ClF crystal (PBE, Alexandria via LeMat-Bulk).

The structure in POSCAR format:
```
PtN2ClF
1.0
4.010 0.000 0.000
0.000 4.010 0.000
0.000 0.000 3.748
Pt N Cl F
1 2 1 1
direct
0.000 0.000 0.000
0.000 0.500 0.500
0.500 0.000 0.500
0.500 0.500 0.500
0.500 0.500 0.000
```

As for the crystal system: tetragonal.

#ii
# PtN2ClF

A relaxed PtN2ClF crystal (PBE, Alexandria via LeMat-Bulk).

The structure in POSCAR format:
```
PtN2ClF
1.0
3.904 0.000 0.000
0.000 3.904 0.000
0.000 0.000 4.333
Pt N Cl F
1 2 1 1
direct
0.000 0.000 0.000
0.000 0.500 0.000
0.500 0.000 0.000
0.500 0.500 0.500
0.000 0.000 0.500
```

As for the crystal system: tetragonal.

Most stable to least stable: #ii, #i

#i
# RhN2ClF

A relaxed RhN2ClF crystal (PBE, Alexandria via LeMat-Bulk).

The structure in POSCAR format:
```
RhN2ClF
1.0
3.978 0.000 0.000
0.000 3.978 0.000
0.000 0.000 3.766
Rh N Cl F
1 2 1 1
direct
0.000 0.000 0.000
0.000 0.500 0.500
0.500 0.000 0.500
0.500 0.500 0.500
0.500 0.500 0.000
```

As for the crystal system: tetragonal.

#ii
# RhN2ClF

A relaxed RhN2ClF crystal (PBE, Alexandria via LeMat-Bulk).

The structure in POSCAR format:
```
RhN2ClF
1.0
3.907 0.000 0.000
0.000 3.907 0.000
0.000 0.000 4.131
Rh N Cl F
1 2 1 1
direct
0.000 0.000 0.000
0.000 0.500 0.000
0.500 0.000 0.000
0.500 0.500 0.500
0.000 0.000 0.500
```

As for the crystal system: tetragonal.

Most stable to least stable: #ii, #i

#i
# RhNClF2

A relaxed RhNClF2 crystal (PBE, Alexandria via LeMat-Bulk).

The structure in POSCAR format:
```
RhNClF2
1.0
4.145 0.000 0.000
0.000 4.145 0.000
0.000 0.000 3.808
Rh N Cl F
1 1 1 2
direct
0.000 0.000 0.000
0.000 0.000 0.500
0.500 0.500 0.500
0.000 0.500 0.000
0.500 0.000 0.000
```

As for the crystal system: tetragonal.

#ii
# RhNClF2

A relaxed RhNClF2 crystal (PBE, Alexandria via LeMat-Bulk).

The structure in POSCAR format:
```
RhNClF2
1.0
4.830 0.000 0.000
0.000 4.830 0.000
0.000 0.000 3.279
Rh N Cl F
1 1 1 2
direct
0.000 0.000 0.000
0.500 0.500 0.000
0.500 0.500 0.500
0.000 0.500 0.500
0.500 0.000 0.500
```

As for the crystal system: tetragonal.

Most stable to least stable: #i, #ii

#i
# SiNClF2

A relaxed SiNClF2 crystal (PBE, Alexandria via LeMat-Bulk).

The structure in POSCAR format:
```
SiNClF2
1.0
4.882 0.000 0.000
0.000 4.882 0.000
0.000 0.000 3.295
Si N Cl F
1 1 1 2
direct
0.000 0.000 0.000
0.500 0.500 0.000
0.500 0.500 0.500
0.000 0.500 0.500
0.500 0.000 0.500
```

As for the crystal system: tetragonal.

#ii
# SiNClF2

A relaxed SiNClF2 crystal (PBE, Alexandria via LeMat-Bulk).

The structure in POSCAR format:
```
SiNClF2
1.0
3.687 0.000 0.000
0.000 3.687 0.000
0.000 0.000 3.755
Si N Cl F
1 1 1 2
direct
0.000 0.000 0.000
0.000 0.000 0.500
0.500 0.500 0.500
0.000 0.500 0.000
0.500 0.000 0.000
```

As for the crystal system: tetragonal.

Most stable to least stable: #ii, #i

#i
# SnN2ClF

A relaxed SnN2ClF crystal (PBE, Alexandria via LeMat-Bulk).

The structure in POSCAR format:
```
SnN2ClF
1.0
4.314 0.000 0.000
0.000 4.314 0.000
0.000 0.000 4.181
Sn N Cl F
1 2 1 1
direct
0.000 0.000 0.000
0.000 0.500 0.000
0.500 0.000 0.000
0.500 0.500 0.500
0.000 0.000 0.500
```

As for the crystal system: tetragonal.

#ii
# SnN2ClF

A relaxed SnN2ClF crystal (PBE, Alexandria via LeMat-Bulk).

The structure in POSCAR format:
```
SnN2ClF
1.0
3.758 0.000 0.000
0.000 3.758 0.000
0.000 0.000 5.027
Sn N Cl F
1 2 1 1
direct
0.000 0.000 0.000
0.000 0.500 0.500
0.500 0.000 0.500
0.500 0.500 0.500
0.500 0.500 0.000
```

As for the crystal system: tetragonal.

Most stable to least stable: #i, #ii

#i
# TeN2ClF

A relaxed TeN2ClF crystal (PBE, Alexandria via LeMat-Bulk).

The structure in POSCAR format:
```
TeN2ClF
1.0
3.606 0.000 0.000
0.000 3.606 0.000
0.000 0.000 7.806
Te N Cl F
1 2 1 1
direct
0.000 0.000 0.000
0.000 0.500 0.500
0.500 0.000 0.500
0.000 0.000 0.500
0.500 0.500 0.000
```

As for the crystal system: tetragonal.

#ii
# TeN2ClF

A relaxed TeN2ClF crystal (PBE, Alexandria via LeMat-Bulk).

The structure in POSCAR format:
```
TeN2ClF
1.0
4.285 0.000 0.000
0.000 4.285 0.000
0.000 0.000 4.315
Te N Cl F
1 2 1 1
direct
0.000 0.000 0.000
0.000 0.500 0.000
0.500 0.000 0.000
0.500 0.500 0.500
0.000 0.000 0.500
```

As for the crystal system: tetragonal.

Most stable to least stable: #ii, #i

#i
# TeN2ClF

A relaxed TeN2ClF crystal (PBE, Alexandria via LeMat-Bulk).

The structure in POSCAR format:
```
TeN2ClF
1.0
4.916 0.000 0.000
0.000 4.916 0.000
0.000 0.000 4.268
Te N Cl F
1 2 1 1
direct
0.000 0.000 0.000
0.000 0.500 0.500
0.500 0.000 0.500
0.500 0.500 0.000
0.000 0.000 0.500
```

As for the crystal system: tetragonal.

#ii
# TeN2ClF

A relaxed TeN2ClF crystal (PBE, Alexandria via LeMat-Bulk).

The structure in POSCAR format:
```
TeN2ClF
1.0
4.090 0.000 0.000
0.000 4.090 0.000
0.000 0.000 4.022
Te N Cl F
1 2 1 1
direct
0.000 0.000 0.000
0.000 0.500 0.500
0.500 0.000 0.500
0.500 0.500 0.500
0.500 0.500 0.000
```

As for the crystal system: tetragonal.

Most stable to least stable: #ii, #i

#i
# TeNClF2

A relaxed TeNClF2 crystal (PBE, Alexandria via LeMat-Bulk).

The structure in POSCAR format:
```
TeNClF2
1.0
4.322 0.000 0.000
0.000 4.322 0.000
0.000 0.000 4.327
Te N Cl F
1 1 1 2
direct
0.000 0.000 0.000
0.000 0.000 0.500
0.500 0.500 0.500
0.000 0.500 0.000
0.500 0.000 0.000
```

As for the crystal system: tetragonal.

#ii
# TeNClF2

A relaxed TeNClF2 crystal (PBE, Alexandria via LeMat-Bulk).

The structure in POSCAR format:
```
TeNClF2
1.0
4.163 0.000 0.000
0.000 4.163 0.000
0.000 0.000 4.464
Te N Cl F
1 1 1 2
direct
0.000 0.000 0.000
0.500 0.500 0.000
0.500 0.500 0.500
0.000 0.500 0.500
0.500 0.000 0.500
```

As for the crystal system: tetragonal.

Most stable to least stable: #i, #ii

#i
# TiNClF2

A relaxed TiNClF2 crystal (PBE, Alexandria via LeMat-Bulk).

The structure in POSCAR format:
```
TiNClF2
1.0
3.887 0.000 0.000
0.000 3.887 0.000
0.000 0.000 4.182
Ti N Cl F
1 1 1 2
direct
0.000 0.000 0.000
0.000 0.000 0.500
0.500 0.500 0.500
0.000 0.500 0.000
0.500 0.000 0.000
```

As for the crystal system: tetragonal.

#ii
# TiNClF2

A relaxed TiNClF2 crystal (PBE, Alexandria via LeMat-Bulk).

The structure in POSCAR format:
```
TiNClF2
1.0
4.748 0.000 0.000
0.000 4.748 0.000
0.000 0.000 3.310
Ti N Cl F
1 1 1 2
direct
0.000 0.000 0.000
0.500 0.500 0.000
0.500 0.500 0.500
0.000 0.500 0.500
0.500 0.000 0.500
```

As for the crystal system: tetragonal.

Most stable to least stable: #i, #ii

#i
# TlN2ClF

A relaxed TlN2ClF crystal (PBE, Alexandria via LeMat-Bulk).

The structure in POSCAR format:
```
TlN2ClF
1.0
4.591 0.000 0.000
0.000 4.591 0.000
0.000 0.000 4.415
Tl N Cl F
1 2 1 1
direct
0.000 0.000 0.000
0.000 0.500 0.000
0.500 0.000 0.000
0.500 0.500 0.500
0.000 0.000 0.500
```

As for the crystal system: tetragonal.

#ii
# TlN2ClF

A relaxed TlN2ClF crystal (PBE, Alexandria via LeMat-Bulk).

The structure in POSCAR format:
```
TlN2ClF
1.0
3.741 0.000 0.000
0.000 3.741 0.000
0.000 0.000 5.924
Tl N Cl F
1 2 1 1
direct
0.000 0.000 0.000
0.000 0.500 0.500
0.500 0.000 0.500
0.500 0.500 0.500
0.500 0.500 0.000
```

As for the crystal system: tetragonal.

Most stable to least stable: #ii, #i